Entry 1:
MnTePb: optimized geometry, PBE.

Cell: 6.835 6.835 6.835 Å, 90.00 90.00 90.00°
Sites, in units of the cell vectors:
Mn (0.000, 0.000, 0.000)
Mn (0.000, 0.500, 0.500)
Mn (0.500, 0.000, 0.500)
Mn (0.500, 0.500, 0.000)
Te (0.250, 0.250, 0.250)
Te (0.250, 0.750, 0.750)
Te (0.750, 0.250, 0.750)
Te (0.750, 0.750, 0.250)
Pb (0.250, 0.250, 0.750)
Pb (0.250, 0.750, 0.250)
Pb (0.750, 0.250, 0.250)
Pb (0.750, 0.750, 0.750)

Results
**Offset from the most stable computed form**: 160 meV/atom
**Total magnetization**: 13.35 Bohr magnetons per cell
**E_form (uncorrected)**: 0.18 eV/atom

Entry 2:
NbFeNiGe: optimized geometry, PBE.

Cell: 5.993 5.993 5.993 Å, 90.00 90.00 90.00°
Sites, in units of the cell vectors:
Nb (0.000, 0.000, 0.000)
Nb (0.000, 0.500, 0.500)
Nb (0.500, 0.000, 0.500)
Nb (0.500, 0.500, 0.000)
Fe (0.250, 0.250, 0.750)
Fe (0.250, 0.750, 0.250)
Fe (0.750, 0.250, 0.250)
Fe (0.750, 0.750, 0.750)
Ni (0.250, 0.250, 0.250)
Ni (0.250, 0.750, 0.750)
Ni (0.750, 0.250, 0.750)
Ni (0.750, 0.750, 0.250)
Ge (0.000, 0.000, 0.500)
Ge (0.000, 0.500, 0.000)
Ge (0.500, 0.000, 0.000)
Ge (0.500, 0.500, 0.500)

Results
**Total magnetization**: 5.33 Bohr magnetons per cell
**Energy relative to the elements**: -163 meV per atom

Entry 3:
KTiTlI6: optimized geometry, PBE.

Cell: 8.323 8.323 6.938 Å, 90.00 90.00 120.10°
Sites, in units of the cell vectors:
K (0.000, 0.000, 0.000)
Ti (0.333, 0.667, 0.000)
Tl (0.666, 0.334, 0.500)
I (0.060, 0.396, 0.234)
I (0.061, 0.665, 0.766)
I (0.335, 0.397, 0.766)
I (0.335, 0.939, 0.234)
I (0.603, 0.665, 0.234)
I (0.604, 0.940, 0.766)

Results
**Total magnetization**: 0.00 Bohr magnetons per cell
**E_form (uncorrected)**: -0.82 eV/atom